Arrangement P

Material: RbMgTaPt
Method: DFT, PBE
State: relaxed

Output
Magnetic moment ... 0.11 μB/f.u.

a = 7.096 Å, b = 7.096 Å, c = 7.096 Å
α = 90.00°, β = 90.00°, γ = 90.00°
Space group F-43m (No. 216)
One atom of each set of equivalent atoms:
1 Rb 0.000 0.000 0.000 x4
2 Mg 0.250 0.250 0.750 x4
3 Ta 0.000 0.000 0.500 x4
4 Pt 0.250 0.250 0.250 x4

---

Arrangement Q

Material: RbMgTaPt
Method: DFT, PBE
State: relaxed

Output
Magnetic moment ... 2.53 μB/f.u.

a = 7.087 Å, b = 7.087 Å, c = 7.087 Å
α = 90.00°, β = 90.00°, γ = 90.00°
Space group F-43m (No. 216)
One atom of each set of equivalent atoms:
1 Rb 0.000 0.000 0.000 x4
2 Mg 0.000 0.000 0.500 x4
3 Ta 0.250 0.250 0.250 x4
4 Pt 0.250 0.250 0.750 x4

---

On energetic grounds, arrangement P is preferred over the next structure by 25.2 kJ/mol of atoms.

---

Arrangement P

Material: Sr2MgPtSe6
Method: DFT, PBE
State: relaxed

Output
Magnetic moment ... 0.00 μB/f.u.

a = 6.449 Å, b = 6.458 Å, c = 6.719 Å
α = 71.43°, β = 71.54°, γ = 71.60°
Space group P-1 (No. 2)
One atom of each set of equivalent atoms:
1 Sr 0.243 0.257 0.250 x2
2 Mg 0.500 0.500 0.500 x1
3 Pt 0.000 0.000 0.000 x1
4 Se 0.146 0.775 0.336 x2
5 Se 0.236 0.653 0.847 x2
6 Se 0.347 0.153 0.779 x2

---

Arrangement Q

Material: Sr2MgPtSe6
Method: DFT, PBE
State: relaxed

Output
Magnetic moment ... 0.00 μB/f.u.

a = 6.646 Å, b = 6.646 Å, c = 11.568 Å
α = 90.00°, β = 90.00°, γ = 90.00°
Space group I4/m (No. 87)
One atom of each set of equivalent atoms:
1 Sr 0.000 0.500 0.250 x4
2 Mg 0.000 0.000 0.000 x2
3 Pt 0.000 0.000 0.500 x2
4 Se 0.000 0.000 0.271 x4
5 Se 0.134 0.645 0.500 x8

---

On energetic grounds, arrangement Q is preferred over the next structure by 1.2 kJ/mol of atoms.

---

Arrangement P

Material: SrMgSnPt
Method: DFT, PBE
State: relaxed

Output
Magnetic moment ... 0.00 μB/f.u.

a = 7.068 Å, b = 7.068 Å, c = 7.068 Å
α = 90.00°, β = 90.00°, γ = 90.00°
Space group F-43m (No. 216)
One atom of each set of equivalent atoms:
1 Sr 0.000 0.000 0.000 x4
2 Mg 0.250 0.250 0.750 x4
3 Sn 0.250 0.250 0.250 x4
4 Pt 0.000 0.000 0.500 x4

---

Arrangement Q

Material: SrMgSnPt
Method: DFT, PBE
State: relaxed

Output
Magnetic moment ... 0.00 μB/f.u.

a = 7.130 Å, b = 7.130 Å, c = 7.130 Å
α = 90.00°, β = 90.00°, γ = 90.00°
Space group F-43m (No. 216)
One atom of each set of equivalent atoms:
1 Sr 0.000 0.000 0.000 x4
2 Mg 0.250 0.250 0.750 x4
3 Sn 0.000 0.000 0.500 x4
4 Pt 0.250 0.250 0.250 x4

---

Arrangement R

Material: SrMgSnPt
Method: DFT, PBE
State: relaxed

Output
Magnetic moment ... 0.00 μB/f.u.

a = 7.238 Å, b = 7.238 Å, c = 7.238 Å
α = 90.00°, β = 90.00°, γ = 90.00°
Space group F-43m (No. 216)
One atom of each set of equivalent atoms:
1 Sr 0.000 0.000 0.000 x4
2 Mg 0.000 0.000 0.500 x4
3 Sn 0.250 0.250 0.250 x4
4 Pt 0.250 0.250 0.750 x4

---

On energetic grounds, arrangement P is preferred over the next structure by 0.9 kJ/mol of atoms.

---

Arrangement P

Material: SrMgZrPt
Method: DFT, PBE
State: relaxed

Output
Magnetic moment ... 0.01 μB/f.u.

a = 7.188 Å, b = 7.188 Å, c = 7.188 Å
α = 90.00°, β = 90.00°, γ = 90.00°
Space group F-43m (No. 216)
One atom of each set of equivalent atoms:
1 Sr 0.000 0.000 0.000 x4
2 Mg 0.250 0.250 0.750 x4
3 Zr 0.000 0.000 0.500 x4
4 Pt 0.250 0.250 0.250 x4

---

Arrangement Q

Material: SrMgZrPt
Method: DFT, PBE
State: relaxed

Output
Magnetic moment ... 0.00 μB/f.u.

a = 6.967 Å, b = 6.967 Å, c = 6.967 Å
α = 90.00°, β = 90.00°, γ = 90.00°
Space group F-43m (No. 216)
One atom of each set of equivalent atoms:
1 Sr 0.000 0.000 0.000 x4
2 Mg 0.250 0.250 0.750 x4
3 Zr 0.250 0.250 0.250 x4
4 Pt 0.000 0.000 0.500 x4

---

On energetic grounds, arrangement Q is preferred over the next structure by 3.4 kJ/mol of atoms.

---

Arrangement P

Material: YMgTlPt
Method: DFT, PBE
State: relaxed

Output
Magnetic moment ... 0.00 μB/f.u.

a = 7.011 Å, b = 7.011 Å, c = 7.011 Å
α = 90.00°, β = 90.00°, γ = 90.00°
Space group F-43m (No. 216)
One atom of each set of equivalent atoms:
1 Y 0.000 0.000 0.000 x4
2 Mg 0.000 0.000 0.500 x4
3 Tl 0.250 0.250 0.750 x4
4 Pt 0.250 0.250 0.250 x4

---

Arrangement Q

Material: YMgTlPt
Method: DFT, PBE
State: relaxed

Output
Magnetic moment ... 0.00 μB/f.u.

a = 6.914 Å, b = 6.914 Å, c = 6.914 Å
α = 90.00°, β = 90.00°, γ = 90.00°
Space group F-43m (No. 216)
One atom of each set of equivalent atoms:
1 Y 0.000 0.000 0.000 x4
2 Mg 0.250 0.250 0.250 x4
3 Tl 0.250 0.250 0.750 x4
4 Pt 0.000 0.000 0.500 x4

---

Arrangement R

Material: YMgTlPt
Method: DFT, PBE
State: relaxed

Output
Magnetic moment ... 0.00 μB/f.u.

a = 6.929 Å, b = 6.929 Å, c = 6.929 Å
α = 90.00°, β = 90.00°, γ = 90.00°
Space group F-43m (No. 216)
One atom of each set of equivalent atoms:
1 Y 0.000 0.000 0.000 x4
2 Mg 0.250 0.250 0.250 x4
3 Tl 0.000 0.000 0.500 x4
4 Pt 0.250 0.250 0.750 x4

---

On energetic grounds, arrangement P is preferred over the next structure by 10.9 kJ/mol of atoms.

---

Arrangement P

Material: MgZrZnPt
Method: DFT, PBE
State: relaxed

Output
Magnetic moment ... 0.00 μB/f.u.

a = 6.543 Å, b = 6.543 Å, c = 6.543 Å
α = 90.00°, β = 90.00°, γ = 90.00°
Space group F-43m (No. 216)
One atom of each set of equivalent atoms:
1 Mg 0.000 0.000 0.000 x4
2 Zr 0.000 0.000 0.500 x4
3 Zn 0.250 0.250 0.250 x4
4 Pt 0.250 0.250 0.750 x4

---

Arrangement Q

Material: MgZrZnPt
Method: DFT, PBE
State: relaxed

Output
Magnetic moment ... 0.00 μB/f.u.

a = 6.462 Å, b = 6.462 Å, c = 6.462 Å
α = 90.00°, β = 90.00°, γ = 90.00°
Space group F-43m (No. 216)
One atom of each set of equivalent atoms:
1 Mg 0.000 0.000 0.000 x4
2 Zr 0.250 0.250 0.750 x4
3 Zn 0.000 0.000 0.500 x4
4 Pt 0.250 0.250 0.250 x4

---

On energetic grounds, arrangement P is preferred over the next structure by 24.1 kJ/mol of atoms.